[1]
TlTcIO2 | SCAN | PBEsol geometry

Properties
Formation energy (no corrections) (eV per atom): 0.668
Fermi-level density of states (states/eV/atom): 0.374
Space group: P4/mmm
DFT total energy (eV per atom): -30.6563
Size of the total moment (μB per formula unit): 4.57

POSCAR file:
```
TlTcIO2
1.0
4.1398 0.0000 0.0000
0.0000 4.1398 0.0000
0.0000 0.0000 6.2078
I Tl Tc O
1 1 1 2
Direct
0.0000 0.0000 0.5000
0.0000 0.0000 0.0000
0.5000 0.5000 0.5000
0.0000 0.5000 0.0000
0.5000 0.0000 0.0000
```

***

[2]
La2AgIr | SCAN | PBEsol geometry

Properties
Fermi-level density of states (states/eV/atom): 0.730
Space group: Amm2
Formation enthalpy at 0 K (kJ per mole of atoms): -55.63
DFT total energy (eV per atom): -47.7457
Size of the total moment (μB per formula unit): 0.00

POSCAR file:
```
La2AgIr
1.0
4.0228 0.0000 0.0000
0.0000 4.5446 0.0000
-2.0114 0.0000 5.4304
Ir Ag La
1 1 2
Direct
0.5363 0.5000 0.0726
0.7067 0.0000 0.4133
0.9924 0.0000 0.9847
0.2707 0.5000 0.5414
```

***

[3]
LaFeTc2 | SCAN | PBEsol geometry

Properties
Fermi-level density of states (states/eV/atom): 1.107
Space group: Fm-3m
Formation enthalpy at 0 K (kJ per mole of atoms): 55.38
DFT total energy (eV per atom): -32.2647
Size of the total moment (μB per formula unit): 3.42

POSCAR file:
```
LaFeTc2
1.0
-4.2925 -0.8179 -0.9910
-1.0857 -3.5704 -2.4801
-2.1105 -3.4763 1.8809
Fe La Tc
1 1 2
Direct
0.5000 0.5000 0.5000
0.0000 0.0000 0.0000
0.7500 0.7500 0.7500
0.2500 0.2500 0.2500
```

***

[4]
YAg2Au | SCAN | PBEsol geometry

Properties
Fermi-level density of states (states/eV/atom): 0.500
Space group: F-43m
Formation enthalpy at 0 K (kJ per mole of atoms): -49.25
DFT total energy (eV per atom): -40.4439
Size of the total moment (μB per formula unit): 0.00

POSCAR file:
```
YAg2Au
1.0
-1.2019 -1.3955 4.4197
-0.9973 -4.6016 0.8694
3.0327 -2.6612 2.5780
Y Au Ag
1 1 2
Direct
0.2500 0.2500 0.2500
0.5000 0.5000 0.5000
0.0000 0.0000 0.0000
0.7500 0.7500 0.7500
```